{"formula": "LaIrI2F", "functional": "PBE-GGA", "state": "relaxed", "m_tot_mub_per_cell": 3.00, "vol_a3_per_cell": 180.2, "energy_ev_per_atom": -4.2865, "cell": [[6.298, 0.000, 0.000], [0.000, 6.298, 0.000], [0.000, 0.000, 4.542]], "species": ["La", "Ir", "I", "I", "F"], "frac_coords": [[0.000, 0.000, 0.000], [0.500, 0.500, 0.500], [0.000, 0.500, 0.000], [0.500, 0.000, 0.000], [0.000, 0.000, 0.500]]}

{"formula": "MgTi", "functional": "PBE-GGA", "state": "relaxed", "m_tot_mub_per_cell": 0.00, "vol_a3_per_cell": 245.1, "ef_ev_per_atom": 0.22, "energy_ev_per_atom": -4.5224, "cell": [[9.683, 0.000, 0.000], [-4.842, 8.386, 0.000], [0.000, 0.000, 3.018]], "species": ["Mg", "Mg", "Mg", "Mg", "Mg", "Mg", "Ti", "Ti", "Ti", "Ti", "Ti", "Ti"], "frac_coords": [[0.117, 0.804, 0.250], [0.196, 0.314, 0.250], [0.314, 0.117, 0.750], [0.686, 0.883, 0.250], [0.804, 0.686, 0.750], [0.883, 0.196, 0.750], [0.136, 0.553, 0.750], [0.417, 0.864, 0.750], [0.447, 0.583, 0.750], [0.553, 0.417, 0.250], [0.583, 0.136, 0.250], [0.864, 0.447, 0.250]]}

{"formula": "CeSm3Er2S6", "functional": "PBE-GGA", "state": "relaxed", "m_tot_mub_per_cell": 0.57, "vol_a3_per_cell": 264.0, "energy_ev_per_atom": -6.5074, "cell": [[3.425, -5.948, 0.000], [3.425, 5.948, 0.000], [-2.303, 0.000, 6.479]], "species": ["Ce", "Sm", "Sm", "Sm", "Er", "Er", "S", "S", "S", "S", "S", "S"], "frac_coords": [[0.000, 0.000, 0.000], [0.165, 0.835, 0.500], [0.500, 0.500, 0.500], [0.835, 0.165, 0.500], [0.333, 0.667, 0.000], [0.667, 0.333, 0.000], [0.081, 0.422, 0.242], [0.261, 0.261, 0.760], [0.422, 0.081, 0.242], [0.578, 0.919, 0.758], [0.739, 0.739, 0.240], [0.919, 0.578, 0.758]]}

{"formula": "MgTaSb3", "functional": "PBE-GGA", "state": "relaxed", "m_tot_mub_per_cell": 0.00, "vol_a3_per_cell": 139.9, "polymorph_energy_mev_per_atom": 925, "energy_ev_per_atom": -3.8403, "cell": [[5.191, 0.000, 0.000], [0.000, 5.191, 0.000], [0.000, 0.000, 5.191]], "species": ["Mg", "Ta", "Sb", "Sb", "Sb"], "frac_coords": [[0.000, 0.000, 0.000], [0.500, 0.500, 0.500], [0.000, 0.000, 0.500], [0.000, 0.500, 0.000], [0.500, 0.000, 0.000]]}

{"formula": "Tl2ZnSiSe4", "functional": "PBE-GGA", "state": "relaxed", "m_tot_mub_per_cell": 0.00, "vol_a3_per_cell": 458.5, "energy_ev_per_atom": -3.6610, "cell": [[7.356, 0.000, 0.000], [0.000, 7.356, 0.000], [0.000, 0.000, 8.474]], "species": ["Tl", "Tl", "Tl", "Tl", "Zn", "Zn", "Si", "Si", "Se", "Se", "Se", "Se", "Se", "Se", "Se", "Se"], "frac_coords": [[0.000, 0.000, 0.000], [0.000, 0.500, 0.250], [0.500, 0.000, 0.750], [0.500, 0.500, 0.500], [0.000, 0.000, 0.500], [0.500, 0.500, 0.000], [0.000, 0.500, 0.750], [0.500, 0.000, 0.250], [0.150, 0.274, 0.613], [0.226, 0.650, 0.887], [0.274, 0.850, 0.387], [0.350, 0.226, 0.113], [0.650, 0.774, 0.113], [0.726, 0.150, 0.387], [0.774, 0.350, 0.887], [0.850, 0.726, 0.613]]}

{"formula": "NaTaOF2", "functional": "PBE-GGA", "state": "relaxed", "m_tot_mub_per_cell": 1.77, "vol_a3_per_cell": 74.6, "polymorph_energy_mev_per_atom": 0, "energy_ev_per_atom": -6.5151, "cell": [[4.336, 0.000, 0.000], [0.000, 4.336, 0.000], [0.000, 0.000, 3.967]], "species": ["Na", "Ta", "O", "F", "F"], "frac_coords": [[0.000, 0.000, 0.000], [0.500, 0.500, 0.500], [0.500, 0.500, 0.000], [0.000, 0.500, 0.500], [0.500, 0.000, 0.500]]}

{"formula": "NdDyBi", "functional": "PBE-GGA", "state": "relaxed", "m_tot_mub_per_cell": 0.28, "vol_a3_per_cell": 181.7, "ef_ev_per_atom": -0.49, "energy_ev_per_atom": -4.9030, "cell": [[4.148, 0.000, 0.000], [0.000, 4.148, 0.000], [0.000, 0.000, 10.558]], "species": ["Nd", "Nd", "Dy", "Dy", "Bi", "Bi"], "frac_coords": [[0.250, 0.250, 0.095], [0.750, 0.750, 0.905], [0.250, 0.250, 0.410], [0.750, 0.750, 0.590], [0.250, 0.250, 0.740], [0.750, 0.750, 0.260]]}

{"formula": "AgRh2Se", "functional": "PBE-GGA", "state": "relaxed", "m_tot_mub_per_cell": 0.00, "vol_a3_per_cell": 129.6, "energy_ev_per_atom": -4.9053, "cell": [[5.655, 0.000, 0.000], [0.000, 9.168, 0.000], [-1.384, 0.000, 2.499]], "species": ["Ag", "Ag", "Rh", "Rh", "Rh", "Rh", "Se", "Se"], "frac_coords": [[0.000, 0.000, 0.000], [0.500, 0.500, 0.000], [0.250, 0.250, 0.500], [0.250, 0.750, 0.500], [0.750, 0.250, 0.500], [0.750, 0.750, 0.500], [0.000, 0.500, 0.000], [0.500, 0.000, 0.000]]}

{"formula": "Ac2Ag2Sn", "functional": "PBE-GGA", "state": "relaxed", "m_tot_mub_per_cell": 0.00, "vol_a3_per_cell": 304.4, "ef_ev_per_atom": -0.42, "energy_ev_per_atom": -4.0018, "cell": [[5.931, -2.400, 0.000], [5.931, 2.400, 0.000], [-5.436, 0.000, 10.693]], "species": ["Ac", "Ac", "Ac", "Ac", "Ag", "Ag", "Ag", "Ag", "Sn", "Sn"], "frac_coords": [[0.022, 0.022, 0.343], [0.192, 0.192, 0.109], [0.808, 0.808, 0.891], [0.978, 0.978, 0.657], [0.363, 0.363, 0.441], [0.477, 0.477, 0.110], [0.523, 0.523, 0.890], [0.637, 0.637, 0.559], [0.276, 0.276, 0.663], [0.724, 0.724, 0.337]]}

{"formula": "Mg2AlTl", "functional": "PBE-GGA", "state": "relaxed", "m_tot_mub_per_cell": 0.00, "vol_a3_per_cell": 89.1, "ef_ev_per_atom": 0.05, "energy_ev_per_atom": -2.2698, "cell": [[3.431, 0.000, 0.000], [0.000, 5.046, 0.000], [0.000, 0.000, 5.146]], "species": ["Mg", "Mg", "Al", "Tl"], "frac_coords": [[0.000, 0.000, 0.000], [0.000, 0.500, 0.398], [0.500, 0.000, 0.490], [0.500, 0.500, 0.892]]}

{"formula": "TaNb3Co", "functional": "PBE-GGA", "state": "relaxed", "m_tot_mub_per_cell": 0.00, "vol_a3_per_cell": 96.2, "ef_ev_per_atom": 0.76, "polymorph_energy_mev_per_atom": 0, "energy_ev_per_atom": -9.0758, "cell": [[4.582, 0.000, 0.000], [0.000, 4.582, 0.000], [0.000, 0.000, 4.582]], "species": ["Ta", "Nb", "Nb", "Nb", "Co"], "frac_coords": [[0.000, 0.000, 0.000], [0.000, 0.500, 0.500], [0.500, 0.000, 0.500], [0.500, 0.500, 0.000], [0.500, 0.500, 0.500]]}

{"formula": "MgSc4Tc2", "functional": "PBE-GGA", "state": "relaxed", "m_tot_mub_per_cell": 0.00, "vol_a3_per_cell": 282.4, "ef_ev_per_atom": -0.03, "energy_ev_per_atom": -6.8421, "cell": [[4.912, 0.000, 0.000], [-2.456, 4.254, 0.000], [0.000, 0.000, 13.515]], "species": ["Mg", "Mg", "Sc", "Sc", "Sc", "Sc", "Sc", "Sc", "Sc", "Sc", "Tc", "Tc", "Tc", "Tc"], "frac_coords": [[0.000, 0.000, 0.250], [0.000, 0.000, 0.750], [0.000, 0.000, 0.000], [0.000, 0.000, 0.500], [0.333, 0.667, 0.123], [0.333, 0.667, 0.377], [0.333, 0.667, 0.750], [0.667, 0.333, 0.250], [0.667, 0.333, 0.623], [0.667, 0.333, 0.877], [0.333, 0.667, 0.563], [0.333, 0.667, 0.937], [0.667, 0.333, 0.063], [0.667, 0.333, 0.437]]}

{"formula": "Hg2PbF4", "functional": "PBE-GGA", "state": "relaxed", "m_tot_mub_per_cell": 0.00, "vol_a3_per_cell": 372.8, "energy_ev_per_atom": -3.1553, "cell": [[4.415, 0.000, 0.000], [0.000, 4.415, 0.000], [0.000, 0.000, 19.123]], "species": ["Hg", "Hg", "Hg", "Hg", "Pb", "Pb", "F", "F", "F", "F", "F", "F", "F", "F"], "frac_coords": [[0.000, 0.000, 0.240], [0.000, 0.000, 0.760], [0.500, 0.500, 0.260], [0.500, 0.500, 0.740], [0.000, 0.000, 0.000], [0.500, 0.500, 0.500], [0.000, 0.000, 0.113], [0.000, 0.000, 0.887], [0.000, 0.500, 0.000], [0.000, 0.500, 0.500], [0.500, 0.000, 0.000], [0.500, 0.000, 0.500], [0.500, 0.500, 0.387], [0.500, 0.500, 0.613]]}

{"formula": "Ti2GaPd6", "functional": "PBE-GGA", "state": "relaxed", "m_tot_mub_per_cell": 0.00, "vol_a3_per_cell": 143.5, "ef_ev_per_atom": -0.45, "energy_ev_per_atom": -6.0058, "cell": [[7.002, -3.651, 0.000], [7.002, 3.651, 0.000], [-0.573, 0.000, 2.806]], "species": ["Ti", "Ti", "Ga", "Pd", "Pd", "Pd", "Pd", "Pd", "Pd"], "frac_coords": [[0.163, 0.163, 0.161], [0.837, 0.837, 0.839], [0.500, 0.500, 0.500], [0.142, 0.522, 0.333], [0.194, 0.806, 0.000], [0.478, 0.858, 0.667], [0.522, 0.142, 0.333], [0.806, 0.194, 0.000], [0.858, 0.478, 0.667]]}

{"formula": "Ce3TlTc2", "functional": "PBE-GGA", "state": "relaxed", "m_tot_mub_per_cell": 0.00, "vol_a3_per_cell": 286.1, "ef_ev_per_atom": 0.01, "energy_ev_per_atom": -6.8115, "cell": [[7.071, -3.275, 0.000], [7.071, 3.275, 0.000], [0.000, 0.000, 6.178]], "species": ["Ce", "Ce", "Ce", "Ce", "Ce", "Ce", "Tl", "Tl", "Tc", "Tc", "Tc", "Tc"], "frac_coords": [[0.157, 0.843, 0.750], [0.171, 0.429, 0.750], [0.429, 0.171, 0.250], [0.571, 0.829, 0.750], [0.829, 0.571, 0.250], [0.843, 0.157, 0.250], [0.332, 0.668, 0.250], [0.668, 0.332, 0.750], [0.147, 0.147, 0.000], [0.147, 0.147, 0.500], [0.853, 0.853, 0.000], [0.853, 0.853, 0.500]]}

{"formula": "SrPd2W", "functional": "PBE-GGA", "state": "relaxed", "m_tot_mub_per_cell": 8.87, "vol_a3_per_cell": 318.6, "ef_ev_per_atom": 0.51, "polymorph_energy_mev_per_atom": 0, "energy_ev_per_atom": -5.7459, "cell": [[6.830, 0.000, 0.000], [0.000, 6.830, 0.000], [0.000, 0.000, 6.830]], "species": ["Sr", "Sr", "Sr", "Sr", "Pd", "Pd", "Pd", "Pd", "Pd", "Pd", "Pd", "Pd", "W", "W", "W", "W"], "frac_coords": [[0.000, 0.000, 0.000], [0.000, 0.500, 0.500], [0.500, 0.000, 0.500], [0.500, 0.500, 0.000], [0.250, 0.250, 0.250], [0.250, 0.250, 0.750], [0.250, 0.750, 0.250], [0.250, 0.750, 0.750], [0.750, 0.250, 0.250], [0.750, 0.250, 0.750], [0.750, 0.750, 0.250], [0.750, 0.750, 0.750], [0.000, 0.000, 0.500], [0.000, 0.500, 0.000], [0.500, 0.000, 0.000], [0.500, 0.500, 0.500]]}

{"formula": "TbPmAlPd", "functional": "PBE-GGA", "state": "relaxed", "m_tot_mub_per_cell": 0.00, "vol_a3_per_cell": 196.5, "ef_ev_per_atom": -0.58, "polymorph_energy_mev_per_atom": 0, "energy_ev_per_atom": -5.1630, "cell": [[4.424, 0.000, 0.000], [0.000, 3.876, 0.000], [0.000, 0.000, 11.460]], "species": ["Tb", "Tb", "Pm", "Pm", "Al", "Al", "Pd", "Pd"], "frac_coords": [[0.000, 0.000, 0.000], [0.000, 0.500, 0.500], [0.500, 0.000, 0.706], [0.500, 0.500, 0.206], [0.000, 0.000, 0.290], [0.000, 0.500, 0.790], [0.500, 0.000, 0.429], [0.500, 0.500, 0.929]]}

{"formula": "Mn2Zn", "functional": "PBE-GGA", "state": "relaxed", "m_tot_mub_per_cell": 1.74, "vol_a3_per_cell": 153.6, "ef_ev_per_atom": 0.08, "energy_ev_per_atom": -6.4542, "cell": [[3.547, 0.000, 0.000], [0.000, 11.203, 0.000], [0.000, 0.000, 3.867]], "species": ["Mn", "Mn", "Mn", "Mn", "Mn", "Mn", "Mn", "Mn", "Zn", "Zn", "Zn", "Zn"], "frac_coords": [[0.000, 0.097, 0.250], [0.000, 0.253, 0.750], [0.000, 0.747, 0.250], [0.000, 0.903, 0.750], [0.500, 0.247, 0.250], [0.500, 0.403, 0.750], [0.500, 0.597, 0.250], [0.500, 0.753, 0.750], [0.000, 0.418, 0.250], [0.000, 0.582, 0.750], [0.500, 0.082, 0.750], [0.500, 0.918, 0.250]]}

{"formula": "PmSmBr2", "functional": "PBE-GGA", "state": "relaxed", "m_tot_mub_per_cell": 0.00, "vol_a3_per_cell": 325.5, "polymorph_energy_mev_per_atom": 0, "energy_ev_per_atom": -4.3143, "cell": [[3.672, 0.000, 0.000], [-1.836, 3.180, 0.000], [0.000, 0.000, 27.876]], "species": ["Pm", "Pm", "Pm", "Sm", "Sm", "Sm", "Br", "Br", "Br", "Br", "Br", "Br"], "frac_coords": [[0.000, 0.000, 0.000], [0.333, 0.667, 0.667], [0.667, 0.333, 0.333], [0.000, 0.000, 0.164], [0.333, 0.667, 0.831], [0.667, 0.333, 0.497], [0.000, 0.000, 0.582], [0.000, 0.000, 0.749], [0.333, 0.667, 0.248], [0.333, 0.667, 0.415], [0.667, 0.333, 0.082], [0.667, 0.333, 0.915]]}

{"formula": "NiIr2Se", "functional": "PBE-GGA", "state": "relaxed", "m_tot_mub_per_cell": 1.75, "vol_a3_per_cell": 116.4, "polymorph_energy_mev_per_atom": 236, "energy_ev_per_atom": -6.2719, "cell": [[3.944, 0.000, 0.000], [0.000, 3.944, 0.000], [0.000, 0.000, 7.484]], "species": ["Ni", "Ni", "Ir", "Ir", "Ir", "Ir", "Se", "Se"], "frac_coords": [[0.000, 0.000, 0.000], [0.500, 0.500, 0.500], [0.000, 0.000, 0.500], [0.000, 0.500, 0.250], [0.500, 0.000, 0.750], [0.500, 0.500, 0.000], [0.000, 0.500, 0.750], [0.500, 0.000, 0.250]]}